[1]
Entry from the Alexandria database: crystalline BaMoO4 at its relaxed geometry (PBE with a Hubbard U).

Calculated values
Total DFT energy (no corrections)   -6.8450 eV/atom

Cell: 6.8322 6.8322 5.6761 Å, 104.58 104.58 45.23°
Fractional coordinates of all 12 atoms:
Ba (0.2220, 0.7780, 0.7500)
Ba (0.7780, 0.2220, 0.2500)
Mo (0.0000, 0.5000, 0.0000)
Mo (0.5000, 0.0000, 0.5000)
O (0.1959, 0.2161, 0.7129)
O (0.2161, 0.1959, 0.2129)
O (0.2600, 0.5296, 0.0755)
O (0.4704, 0.7400, 0.4245)
O (0.5296, 0.2600, 0.5755)
O (0.7400, 0.4704, 0.9245)
O (0.7839, 0.8041, 0.7871)
O (0.8041, 0.7839, 0.2871)

***

[2]
Entry from the Alexandria database: crystalline Ba3Mo2O6 at its relaxed geometry (PBE with a Hubbard U).

Calculated values
Total DFT energy (no corrections)   -6.6330 eV/atom

Cell: 11.1356 11.1356 11.1356 Å, 158.01 158.01 31.29°
Fractional coordinates of all 11 atoms:
Ba (0.0000, 0.0000, 0.0000)
Ba (0.1820, 0.1820, 0.0000)
Ba (0.8180, 0.8180, 0.0000)
Mo (0.4006, 0.4006, 0.0000)
Mo (0.5994, 0.5994, 0.0000)
O (0.0867, 0.5867, 0.5000)
O (0.3045, 0.3045, 0.0000)
O (0.4133, 0.9133, 0.5000)
O (0.5867, 0.0867, 0.5000)
O (0.6955, 0.6955, 0.0000)
O (0.9133, 0.4133, 0.5000)

***

[3]
Entry from the Alexandria database: crystalline BaMo4O7 at its relaxed geometry (PBE with a Hubbard U).

Calculated values
Total DFT energy (no corrections)   -6.5728 eV/atom

Cell: 6.6207 6.6207 11.2764 Å, 90.00 90.00 120.00°
Fractional coordinates of all 24 atoms:
Ba (0.3333, 0.6667, 0.0000)
Ba (0.6667, 0.3333, 0.5000)
Mo (0.0000, 0.0000, 0.4517)
Mo (0.0000, 0.0000, 0.9517)
Mo (0.1966, 0.3932, 0.7114)
Mo (0.1966, 0.8034, 0.7114)
Mo (0.3932, 0.1966, 0.2114)
Mo (0.6068, 0.8034, 0.7114)
Mo (0.8034, 0.1966, 0.2114)
Mo (0.8034, 0.6068, 0.2114)
O (0.0000, 0.0000, 0.2785)
O (0.0000, 0.0000, 0.7785)
O (0.0331, 0.5166, 0.8122)
O (0.1451, 0.2903, 0.5438)
O (0.1451, 0.8549, 0.5438)
O (0.2903, 0.1451, 0.0438)
O (0.4834, 0.5166, 0.8122)
O (0.4834, 0.9669, 0.8122)
O (0.5166, 0.0331, 0.3122)
O (0.5166, 0.4834, 0.3122)
O (0.7097, 0.8549, 0.5438)
O (0.8549, 0.1451, 0.0438)
O (0.8549, 0.7097, 0.0438)
O (0.9669, 0.4834, 0.3122)

***

[4]
Entry from the Alexandria database: crystalline Ba5Mo2O12 at its relaxed geometry (PBE with a Hubbard U).

Calculated values
Total DFT energy (no corrections)   -6.5490 eV/atom

Cell: 7.4631 7.4631 9.8728 Å, 109.14 109.14 52.06°
Fractional coordinates of all 19 atoms:
Ba (0.0000, 0.0000, 0.0000)
Ba (0.2561, 0.2561, 0.8669)
Ba (0.4922, 0.4922, 0.2849)
Ba (0.5078, 0.5078, 0.7151)
Ba (0.7439, 0.7439, 0.1331)
Mo (0.2036, 0.2036, 0.3773)
Mo (0.7964, 0.7964, 0.6227)
O (0.0771, 0.6405, 0.7346)
O (0.1352, 0.6287, 0.0807)
O (0.1724, 0.1724, 0.5365)
O (0.3473, 0.3473, 0.4205)
O (0.3595, 0.9229, 0.2654)
O (0.3713, 0.8648, 0.9193)
O (0.6287, 0.1352, 0.0807)
O (0.6405, 0.0771, 0.7346)
O (0.6527, 0.6527, 0.5795)
O (0.8276, 0.8276, 0.4635)
O (0.8648, 0.3713, 0.9193)
O (0.9229, 0.3595, 0.2654)

***

[5]
Entry from the Alexandria database: crystalline BaMo3O10 at its relaxed geometry (PBE with a Hubbard U).

Calculated values
Total DFT energy (no corrections)   -7.0428 eV/atom

Cell: 7.3291 7.6918 15.3992 Å, 90.00 106.46 90.00°
Fractional coordinates of all 56 atoms:
Ba (0.1650, 0.1359, 0.3175)
Ba (0.1650, 0.3641, 0.8175)
Ba (0.8350, 0.6359, 0.1825)
Ba (0.8350, 0.8641, 0.6825)
Mo (0.2897, 0.1365, 0.6040)
Mo (0.2897, 0.3635, 0.1040)
Mo (0.3376, 0.6456, 0.6353)
Mo (0.3376, 0.8544, 0.1353)
Mo (0.3518, 0.6274, 0.4161)
Mo (0.3518, 0.8726, 0.9161)
Mo (0.6482, 0.1274, 0.0839)
Mo (0.6482, 0.3726, 0.5839)
Mo (0.6624, 0.1456, 0.8647)
Mo (0.6624, 0.3544, 0.3647)
Mo (0.7103, 0.6365, 0.8960)
Mo (0.7103, 0.8635, 0.3960)
O (0.1116, 0.1543, 0.6605)
O (0.1116, 0.3457, 0.1605)
O (0.1296, 0.6091, 0.6684)
O (0.1296, 0.8909, 0.1684)
O (0.1600, 0.1322, 0.4905)
O (0.1600, 0.3678, 0.9905)
O (0.1855, 0.6052, 0.3105)
O (0.1855, 0.8948, 0.8105)
O (0.2047, 0.6408, 0.4935)
O (0.2047, 0.8592, 0.9935)
O (0.3407, 0.6111, 0.1216)
O (0.3407, 0.8889, 0.6216)
O (0.3748, 0.1171, 0.1155)
O (0.3748, 0.3829, 0.6155)
O (0.4285, 0.6388, 0.9090)
O (0.4285, 0.8612, 0.4090)
O (0.4321, 0.1156, 0.9313)
O (0.4321, 0.3844, 0.4313)
O (0.4821, 0.1429, 0.7592)
O (0.4821, 0.3571, 0.2592)
O (0.5179, 0.6429, 0.7408)
O (0.5179, 0.8571, 0.2408)
O (0.5679, 0.6156, 0.5687)
O (0.5679, 0.8844, 0.0687)
O (0.5715, 0.1388, 0.5910)
O (0.5715, 0.3612, 0.0910)
O (0.6252, 0.6171, 0.3845)
O (0.6252, 0.8829, 0.8845)
O (0.6593, 0.1111, 0.3784)
O (0.6593, 0.3889, 0.8784)
O (0.7953, 0.1408, 0.0065)
O (0.7953, 0.3592, 0.5065)
O (0.8145, 0.1052, 0.1895)
O (0.8145, 0.3948, 0.6895)
O (0.8400, 0.6322, 0.0095)
O (0.8400, 0.8678, 0.5095)
O (0.8704, 0.1091, 0.8316)
O (0.8704, 0.3909, 0.3316)
O (0.8884, 0.6543, 0.8395)
O (0.8884, 0.8457, 0.3395)

***

[6]
Entry from the Alexandria database: crystalline BaMoO6 at its relaxed geometry (PBE with a Hubbard U).

Calculated values
Total DFT energy (no corrections)   -5.8083 eV/atom

Cell: 6.5580 6.5580 6.5580 Å, 60.00 60.00 60.00°
Fractional coordinates of all 8 atoms:
Ba (0.0000, 0.0000, 0.0000)
Mo (0.5000, 0.5000, 0.5000)
O (0.2929, 0.2929, 0.7071)
O (0.2929, 0.7071, 0.2929)
O (0.2929, 0.7071, 0.7071)
O (0.7071, 0.2929, 0.2929)
O (0.7071, 0.2929, 0.7071)
O (0.7071, 0.7071, 0.2929)

***

[7]
Entry from the Alexandria database: crystalline Ba2MoO5 at its relaxed geometry (PBE with a Hubbard U).

Calculated values
Energy above the lowest structure with this stoichiometry   0.54 kcal/mol of atoms

Cell: 5.9551 5.9551 5.9551 Å, 116.57 116.57 96.04°
Fractional coordinates of all 8 atoms:
Ba (0.0000, 0.5000, 0.5000)
Ba (0.5000, 0.0000, 0.5000)
Mo (0.2547, 0.2547, 0.0000)
O (0.0310, 0.0310, 0.0000)
O (0.1072, 0.1072, 0.5820)
O (0.1072, 0.5252, 0.0000)
O (0.5252, 0.1072, 0.0000)
O (0.5252, 0.5252, 0.4180)

***

[8]
Entry from the Alexandria database: crystalline BaMo2O6 at its relaxed geometry (PBE with a Hubbard U).

Calculated values
Total DFT energy (no corrections)   -7.0180 eV/atom

Cell: 7.2753 7.2753 7.2753 Å, 60.00 60.00 60.00°
Fractional coordinates of all 18 atoms:
Ba (0.1250, 0.1250, 0.1250)
Ba (0.8750, 0.8750, 0.8750)
Mo (0.0000, 0.5000, 0.5000)
Mo (0.5000, 0.0000, 0.5000)
Mo (0.5000, 0.5000, 0.0000)
Mo (0.5000, 0.5000, 0.5000)
O (0.1724, 0.1724, 0.5776)
O (0.1724, 0.5776, 0.1724)
O (0.1724, 0.5776, 0.5776)
O (0.4224, 0.4224, 0.8276)
O (0.4224, 0.8276, 0.4224)
O (0.4224, 0.8276, 0.8276)
O (0.5776, 0.1724, 0.1724)
O (0.5776, 0.1724, 0.5776)
O (0.5776, 0.5776, 0.1724)
O (0.8276, 0.4224, 0.4224)
O (0.8276, 0.4224, 0.8276)
O (0.8276, 0.8276, 0.4224)

***

[9]
Entry from the Alexandria database: crystalline BaMo2O7 at its relaxed geometry (PBE with a Hubbard U).

Calculated values
Total DFT energy (no corrections)   -6.9091 eV/atom

Cell: 6.0970 6.0970 3.9080 Å, 90.00 90.00 117.82°
Fractional coordinates of all 10 atoms:
Ba (0.0000, 0.0000, 0.0000)
Mo (0.3092, 0.6908, 0.5000)
Mo (0.6908, 0.3092, 0.5000)
O (0.0385, 0.3339, 0.5000)
O (0.3045, 0.6955, 0.0000)
O (0.3339, 0.0385, 0.5000)
O (0.5000, 0.5000, 0.5000)
O (0.6661, 0.9615, 0.5000)
O (0.6955, 0.3045, 0.0000)
O (0.9615, 0.6661, 0.5000)

***

| no. | total magnetic moment (μB per formula unit) | V (A^3/atom) |
| --- | --- | --- |
| 1 | 0.000 | 15.1 |
| 2 | 5.973 | 17.6 |
| 3 | 5.960 | 17.8 |
| 4 | 2.004 | 21.3 |
| 5 | 0.000 | 14.9 |
| 6 | 4.000 | 24.9 |
| 7 | 0.000 | 19.5 |
| 8 | 2.000 | 15.1 |
| 9 | 0.000 | 12.8 |